Record 1
! La2CdNi (meta-GGA SCAN, single point on PBEsol structure); values from VASP
! Volume in Å³ per cell: 191.73
! Mass density in g/cm³: 7.8
! E in eV/cell: -267.35
! M_tot in μB per cell: 0.00
&SYSTEM
  ibrav = 0, nat = 8, ntyp = 3
/
ATOMIC_SPECIES
La 138.91 La.upf
Cd 112.41 Cd.upf
Ni 58.69 Ni.upf
CELL_PARAMETERS angstrom
3.5232 0.0000 0.0000
0.0000 4.9238 0.0000
0.0000 0.0000 11.0520
ATOMIC_POSITIONS angstrom
La 0.0000 0.0000 0.0000
La 0.0000 2.4619 2.0029
La 1.7616 0.0000 7.5289
La 1.7616 2.4619 5.5260
Cd 0.0000 0.0000 4.3112
Cd 1.7616 2.4619 9.8372
Ni 0.0000 2.4619 7.8253
Ni 1.7616 0.0000 2.2993

Record 2
! LaCd2Ni2 (meta-GGA SCAN, single point on PBEsol structure); values from VASP
! Volume in Å³ per cell: 191.15
! Mass density in g/cm³: 8.4
! E in eV/cell: -274.65
! M_tot in μB per cell: 0.00
&SYSTEM
  ibrav = 0, nat = 10, ntyp = 3
/
ATOMIC_SPECIES
La 138.91 La.upf
Cd 112.41 Cd.upf
Ni 58.69 Ni.upf
CELL_PARAMETERS angstrom
4.0561 0.0000 0.0000
0.0000 4.0561 0.0000
0.0000 0.0000 11.6186
ATOMIC_POSITIONS angstrom
La 0.0000 0.0000 0.0000
La 2.0280 2.0280 5.8093
Cd 0.0000 2.0280 2.9047
Cd 0.0000 2.0280 8.7140
Cd 2.0280 0.0000 2.9047
Cd 2.0280 0.0000 8.7140
Ni 0.0000 0.0000 4.6717
Ni 0.0000 0.0000 6.9470
Ni 2.0280 2.0280 1.1376
Ni 2.0280 2.0280 10.4810

Question: E of number 2 (LaCd2Ni2)?
Answer: -274.65 eV/cell

Question: Which value of M_tot does entry 2 give?
Answer: 0.00 μB per cell